Fe3CuPd, PBEsol geometry, DFT SCAN; density of states at the Fermi level = 1.076 states/eV per atom; volume = 18.5 Å³/atom; SG = Pm-3m; ΔE_f = 1332 meV/atom; density = 6.061 g cm⁻³
1.0
4.522 0.000 0.000
0.000 4.522 0.000
0.000 0.000 4.522
Fe Cu Pd
3 1 1
Direct
0.000 0.000 0.500
0.000 0.500 0.000
0.500 0.000 0.000
0.500 0.500 0.500
0.000 0.000 0.000


AlPS4, PBEsol geometry, DFT SCAN; density of states at the Fermi level = 0.000 states/eV per atom; volume = 25.1 Å³/atom; SG = I222; formation energy without anion corrections = -0.70 eV per atom; density = 2.056 g cm⁻³
1.0
-2.832 3.082 4.307
2.832 -3.082 4.307
2.832 3.082 -4.307
Al P S
1 1 4
Direct
0.000 0.000 0.000
0.000 0.500 0.500
0.059 0.146 0.467
0.321 0.854 0.913
0.679 0.592 0.533
0.941 0.408 0.087


CuPt, PBEsol geometry, DFT SCAN; density of states at the Fermi level = 0.784 states/eV per atom; volume = 13.3 Å³/atom; SG = Cm; ΔE_f = -121 meV/atom; density = 16.106 g cm⁻³
1.0
4.413 -4.033 0.000
4.413 4.033 0.000
-0.810 0.000 4.495
Cu Pt
6 6
Direct
0.000 0.000 0.000
0.081 0.404 0.249
0.245 0.245 0.760
0.326 0.658 0.000
0.404 0.081 0.249
0.658 0.326 0.000
0.164 0.831 0.495
0.485 0.485 0.499
0.571 0.920 0.759
0.743 0.743 0.249
0.831 0.164 0.495
0.920 0.571 0.759


CoOsRh2, PBEsol geometry, DFT SCAN; density of states at the Fermi level = 0.821 states/eV per atom; volume = 12.9 Å³/atom; SG = P4/mmm; ΔE_f = 58 meV/atom; density = 14.639 g cm⁻³
1.0
2.657 0.000 0.000
0.000 2.657 0.000
0.000 0.000 7.310
Co Os Rh
1 1 2
Direct
0.000 0.000 0.000
0.000 0.000 0.500
0.500 0.500 0.242
0.500 0.500 0.758


SrTa2Te, PBEsol geometry, DFT SCAN; density of states at the Fermi level = 0.896 states/eV per atom; volume = 23.2 Å³/atom; SG = P2/m; formation energy without anion corrections = 0.59 eV per atom; density = 10.342 g cm⁻³
1.0
3.260 0.000 0.000
0.000 5.478 0.000
-0.138 0.000 5.189
Sr Ta Te
1 2 1
Direct
0.000 0.000 0.000
0.388 0.500 0.756
0.612 0.500 0.244
0.500 0.000 0.500


KNbPO5, PBEsol geometry, DFT SCAN; density of states at the Fermi level = 0.118 states/eV per atom; volume = 15.1 Å³/atom; SG = Pna2_1; formation energy without anion corrections = -2.59 eV per atom; density = 3.346 g cm⁻³
1.0
13.211 0.000 0.000
0.000 6.572 0.000
0.000 0.000 11.112
K Nb P O
8 8 8 40
Direct
0.109 0.218 0.000
0.133 0.777 0.745
0.367 0.277 0.245
0.391 0.718 0.500
0.609 0.282 0.000
0.633 0.723 0.745
0.867 0.223 0.245
0.891 0.782 0.500
0.126 0.497 0.455
0.243 0.756 0.203
0.257 0.256 0.703
0.374 0.997 0.955
0.626 0.003 0.455
0.743 0.744 0.203
0.757 0.244 0.703
0.874 0.503 0.955
0.005 0.343 0.710
0.177 0.001 0.458
0.323 0.501 0.958
0.495 0.843 0.210
0.505 0.157 0.710
0.677 0.499 0.458
0.823 0.999 0.958
0.995 0.657 0.210
0.005 0.527 0.326
0.017 0.491 0.602
0.087 0.797 0.189
0.099 0.204 0.725
0.107 0.186 0.438
0.108 0.814 0.482
0.220 0.546 0.329
0.226 0.459 0.578
0.246 0.968 0.347
0.248 0.027 0.568
0.252 0.527 0.068
0.254 0.468 0.847
0.274 0.959 0.078
0.280 0.046 0.829
0.392 0.314 0.982
0.393 0.686 0.938
0.401 0.704 0.225
0.413 0.297 0.689
0.483 0.991 0.102
0.495 0.027 0.826
0.505 0.973 0.326
0.517 0.009 0.602
0.587 0.703 0.189
0.599 0.296 0.725
0.607 0.314 0.438
0.608 0.686 0.482
0.720 0.954 0.329
0.726 0.041 0.578
0.746 0.532 0.347
0.748 0.473 0.568
0.752 0.973 0.068
0.754 0.032 0.847
0.774 0.541 0.078
0.780 0.454 0.829
0.892 0.186 0.982
0.893 0.814 0.938
0.901 0.796 0.225
0.913 0.203 0.689
0.983 0.509 0.102
0.995 0.473 0.826


HfCuTe2N, PBEsol geometry, DFT SCAN; density of states at the Fermi level = 0.851 states/eV per atom; volume = 24.4 Å³/atom; SG = P4/mmm; formation energy without anion corrections = 0.32 eV per atom; density = 6.951 g cm⁻³
1.0
5.605 0.000 0.000
0.000 5.605 0.000
0.000 0.000 3.888
Hf Cu Te N
1 1 2 1
Direct
0.000 0.000 0.000
0.500 0.500 0.500
0.000 0.500 0.000
0.500 0.000 0.000
0.000 0.000 0.500


HfZr3W, PBEsol geometry, DFT SCAN; density of states at the Fermi level = 1.056 states/eV per atom; volume = 24.2 Å³/atom; SG = Pm-3m; ΔE_f = 1717 meV/atom; density = 8.731 g cm⁻³
1.0
4.946 0.000 0.000
0.000 4.946 0.000
0.000 0.000 4.946
Hf Zr W
1 3 1
Direct
0.000 0.000 0.000
0.000 0.000 0.500
0.000 0.500 0.000
0.500 0.000 0.000
0.500 0.500 0.500


SrCa2La, PBEsol geometry, DFT SCAN; density of states at the Fermi level = 1.220 states/eV per atom; volume = 40.9 Å³/atom; SG = Cmm2; ΔE_f = 85 meV/atom; density = 3.112 g cm⁻³
1.0
2.108 -3.080 0.000
2.108 3.080 0.000
0.000 0.000 12.601
Sr Ca La
1 2 1
Direct
0.000 0.000 0.000
0.000 0.000 0.507
0.500 0.500 0.260
0.500 0.500 0.747


BaAg2PdW, PBEsol geometry, DFT SCAN; density of states at the Fermi level = 0.527 states/eV per atom; volume = 30.6 Å³/atom; SG = P4/mmm; ΔE_f = 2303 meV/atom; density = 6.991 g cm⁻³
1.0
5.469 0.000 0.000
0.000 5.469 0.000
0.000 0.000 5.110
Ba Ag Pd W
1 2 1 1
Direct
0.000 0.000 0.000
0.000 0.500 0.000
0.500 0.000 0.000
0.000 0.000 0.500
0.500 0.500 0.500


Rb2YTlF6, PBEsol geometry, DFT SCAN; density of states at the Fermi level = 0.000 states/eV per atom; volume = 21.4 Å³/atom; SG = Fm-3m; formation energy without anion corrections = -3.24 eV per atom; density = 4.486 g cm⁻³
1.0
0.000 4.748 4.748
4.748 0.000 4.748
4.748 4.748 0.000
Rb Y Tl F
2 1 1 6
Direct
0.250 0.250 0.250
0.750 0.750 0.750
0.000 0.000 0.000
0.500 0.500 0.500
0.226 0.226 0.774
0.226 0.774 0.226
0.226 0.774 0.774
0.774 0.226 0.226
0.774 0.226 0.774
0.774 0.774 0.226


MgBe5, PBEsol geometry, DFT SCAN; density of states at the Fermi level = 0.186 states/eV per atom; volume = 10.4 Å³/atom; SG = Amm2; ΔE_f = 276 meV/atom; density = 1.852 g cm⁻³
1.0
3.584 0.000 0.000
0.000 1.255 6.913
0.000 -1.255 6.913
Mg Be
1 5
Direct
0.000 0.000 0.000
0.000 0.315 0.315
0.000 0.678 0.678
0.500 0.148 0.148
0.500 0.405 0.405
0.500 0.779 0.779


Na2SrCdTe, PBEsol geometry, DFT SCAN; density of states at the Fermi level = 0.556 states/eV per atom; volume = 39.4 Å³/atom; SG = P4/mmm; formation energy without anion corrections = -0.17 eV per atom; density = 3.147 g cm⁻³
1.0
5.702 0.000 0.000
0.000 5.702 0.000
0.000 0.000 6.062
Na Sr Cd Te
2 1 1 1
Direct
0.000 0.500 0.000
0.500 0.000 0.000
0.000 0.000 0.500
0.500 0.500 0.500
0.500 0.500 0.000


LiAlNiO3, PBEsol geometry, DFT SCAN; density of states at the Fermi level = 0.000 states/eV per atom; volume = 9.8 Å³/atom; SG = P-1; formation energy without anion corrections = -2.34 eV per atom; density = 3.989 g cm⁻³
1.0
5.154 0.000 0.000
2.206 4.696 0.000
1.865 1.470 4.837
Li Al Ni O
2 2 2 6
Direct
0.063 0.426 0.258
0.937 0.574 0.742
0.250 0.912 0.090
0.750 0.088 0.910
0.410 0.756 0.595
0.590 0.244 0.405
0.085 0.769 0.926
0.248 0.613 0.406
0.446 0.072 0.213
0.554 0.928 0.787
0.752 0.387 0.594
0.915 0.231 0.074


Tc3SbF, PBEsol geometry, DFT SCAN; density of states at the Fermi level = 0.935 states/eV per atom; volume = 14.7 Å³/atom; SG = Pm-3m; formation energy without anion corrections = 0.82 eV per atom; density = 9.845 g cm⁻³
1.0
4.186 0.000 0.000
0.000 4.186 0.000
0.000 0.000 4.186
Tc Sb F
3 1 1
Direct
0.000 0.000 0.500
0.000 0.500 0.000
0.500 0.000 0.000
0.500 0.500 0.500
0.000 0.000 0.000


K2SrBiP, PBEsol geometry, DFT SCAN; density of states at the Fermi level = 0.502 states/eV per atom; volume = 39.6 Å³/atom; SG = P4/mmm; ΔE_f = -14 meV/atom; density = 3.399 g cm⁻³
1.0
5.966 0.000 0.000
0.000 5.966 0.000
0.000 0.000 5.569
K Sr Bi P
2 1 1 1
Direct
0.000 0.500 0.000
0.500 0.000 0.000
0.000 0.000 0.500
0.500 0.500 0.500
0.500 0.500 0.000


P2IrRuO, PBEsol geometry, DFT SCAN; density of states at the Fermi level = 0.619 states/eV per atom; volume = 15.5 Å³/atom; SG = P4/mmm; formation energy without anion corrections = 0.66 eV per atom; density = 7.945 g cm⁻³
1.0
4.683 0.000 0.000
0.000 4.683 0.000
0.000 0.000 3.537
P Ir Ru O
2 1 1 1
Direct
0.000 0.500 0.000
0.500 0.000 0.000
0.000 0.000 0.000
0.500 0.500 0.500
0.000 0.000 0.500


BaLaBr2, PBEsol geometry, DFT SCAN; density of states at the Fermi level = 0.710 states/eV per atom; volume = 30.7 Å³/atom; SG = P4mm; formation energy without anion corrections = -1.50 eV per atom; density = 5.904 g cm⁻³
1.0
4.382 0.000 0.000
0.000 4.382 0.000
0.000 0.000 6.387
Ba La Br
1 1 2
Direct
0.000 0.000 0.000
0.500 0.500 0.581
0.000 0.000 0.506
0.500 0.500 0.085


LaCdSb2I, PBEsol geometry, DFT SCAN; density of states at the Fermi level = 0.769 states/eV per atom; volume = 44.5 Å³/atom; SG = P4/mmm; formation energy without anion corrections = 0.15 eV per atom; density = 4.638 g cm⁻³
1.0
6.064 0.000 0.000
0.000 6.064 0.000
0.000 0.000 6.055
La Cd Sb I
1 1 2 1
Direct
0.000 0.000 0.000
0.500 0.500 0.500
0.000 0.500 0.000
0.500 0.000 0.000
0.000 0.000 0.500


TmAlPt, PBEsol geometry, DFT SCAN; density of states at the Fermi level = 0.417 states/eV per atom; volume = 18.6 Å³/atom; SG = Pnma; ΔE_f = -1436 meV/atom; density = 11.628 g cm⁻³
1.0
6.729 0.000 0.000
0.000 4.332 0.000
0.000 0.000 7.661
Tm Al Pt
4 4 4
Direct
0.029 0.250 0.181
0.471 0.750 0.681
0.529 0.250 0.319
0.971 0.750 0.819
0.145 0.250 0.563
0.355 0.750 0.063
0.645 0.250 0.937
0.855 0.750 0.437
0.232 0.750 0.382
0.268 0.250 0.882
0.732 0.750 0.118
0.768 0.250 0.618